# 1
The following is a GGA-PBE calculation of an optimized crystal structure of ReSiTe2N, from the Alexandria database.

Computed properties:
* E_tot: -27.976 eV/cell
* space-group type: No. 123
* formation energy from raw total energies: 0.90 eV per atom
* relative energy among the computed polymorphs: 167 kJ/mol of formula units
* N(E_F): 2.63 states/eV/f.u.

Lattice parameters (Å, degrees): 5.395 5.395 3.262 90.00 90.00 90.00
Element x y z (fractional)
Re 0.000 0.000 0.000
Si 0.500 0.500 0.500
Te 0.000 0.500 0.500
Te 0.500 0.000 0.500
N 0.500 0.500 0.000



# 2
The following is a GGA-PBE calculation of an optimized crystal structure of Sm3Re2N8, from the Alexandria database.

Computed properties:
* E_tot: -114.171 eV/cell
* space-group type: No. 166
* formation energy from raw total energies: -0.65 eV per atom
* N(E_F): 7.67 states/eV/f.u.

Lattice parameters (Å, degrees): 7.427 7.427 7.427 44.91 44.91 44.91
Element x y z (fractional)
Sm 0.000 0.000 0.000
Sm 0.199 0.199 0.199
Sm 0.801 0.801 0.801
Re 0.405 0.405 0.405
Re 0.595 0.595 0.595
N 0.215 0.738 0.738
N 0.262 0.262 0.785
N 0.262 0.785 0.262
N 0.315 0.315 0.315
N 0.685 0.685 0.685
N 0.738 0.215 0.738
N 0.738 0.738 0.215
N 0.785 0.262 0.262



# 3
The following is a GGA-PBE calculation of an optimized crystal structure of Sm4Re3N10, from the Alexandria database.

Computed properties:
* E_tot: -151.801 eV/cell
* space-group type: No. 139
* formation energy from raw total energies: -0.73 eV per atom
* N(E_F): 5.58 states/eV/f.u.

Lattice parameters (Å, degrees): 14.265 14.265 14.265 164.16 164.16 22.48
Element x y z (fractional)
Sm 0.068 0.068 0.000
Sm 0.203 0.203 0.000
Sm 0.797 0.797 0.000
Sm 0.932 0.932 0.000
Re 0.359 0.359 0.000
Re 0.500 0.500 0.000
Re 0.641 0.641 0.000
N 0.000 0.500 0.500
N 0.141 0.641 0.500
N 0.286 0.286 0.000
N 0.359 0.859 0.500
N 0.429 0.429 0.000
N 0.500 0.000 0.500
N 0.571 0.571 0.000
N 0.641 0.141 0.500
N 0.714 0.714 0.000
N 0.859 0.359 0.500



# 4
The following is a GGA-PBE calculation of an optimized crystal structure of Sm3ReN4, from the Alexandria database.

Computed properties:
* E_tot: -133.880 eV/cell
* space-group type: No. 31
* formation energy from raw total energies: -0.88 eV per atom
* N(E_F): 5.01 states/eV/f.u.

Lattice parameters (Å, degrees): 7.751 6.760 5.188 90.00 90.00 90.00
Element x y z (fractional)
Sm 0.000 0.141 0.000
Sm 0.247 0.332 0.499
Sm 0.253 0.668 0.999
Sm 0.500 0.859 0.500
Sm 0.747 0.668 0.999
Sm 0.753 0.332 0.499
Re 0.000 0.820 0.477
Re 0.500 0.180 0.977
N 0.000 0.108 0.497
N 0.000 0.811 0.085
N 0.230 0.691 0.491
N 0.270 0.309 0.991
N 0.500 0.189 0.585
N 0.500 0.892 0.997
N 0.730 0.309 0.991
N 0.770 0.691 0.491